Entry 1:
A plane-wave DFT calculation with GGA-PBE was carried out for an optimized crystal structure of TbNd2Ag2.

## Properties
Uncorrected energy ... -4.17 eV per atom
Excess energy over the best structure of this formula in the dataset ... 0 meV per atom

a = 13.9041 Å, b = 13.9041 Å, c = 5.3537 Å
α = 90.00°, β = 90.00°, γ = 164.61°
Atoms (fractional coordinates):
Tb (0.1451, 0.8549, 0.7500)
Tb (0.8549, 0.1451, 0.2500)
Nd (0.0470, 0.9530, 0.2500)
Nd (0.2341, 0.7659, 0.2500)
Nd (0.7659, 0.2341, 0.7500)
Nd (0.9530, 0.0470, 0.7500)
Ag (0.3590, 0.6410, 0.7500)
Ag (0.4486, 0.5514, 0.2500)
Ag (0.5514, 0.4486, 0.7500)
Ag (0.6410, 0.3590, 0.2500)

Entry 2:
A plane-wave DFT calculation with GGA-PBE was carried out for an optimized crystal structure of Tb2NdAg4.

## Properties
Uncorrected energy ... -3.71 eV per atom

a = 6.2724 Å, b = 6.2724 Å, c = 6.2724 Å
α = 108.10°, β = 108.10°, γ = 112.25°
Atoms (fractional coordinates):
Tb (0.0000, 0.5000, 0.5000)
Tb (0.5000, 0.0000, 0.5000)
Nd (0.0000, 0.0000, 0.0000)
Ag (0.0000, 0.0000, 0.5000)
Ag (0.0000, 0.5000, 0.0000)
Ag (0.5000, 0.0000, 0.0000)
Ag (0.5000, 0.5000, 0.5000)

Number 1: energy of formation -4.4 kcal/mol of atoms. Number 2: energy of formation -1.7 kcal/mol of atoms.